1.
The following is a PBE calculation of an optimized crystal structure of Pa2ZnPN5, from Alexandria via LeMat-Bulk.

Results
As for the size of the total moment: 1.01 Bohr magnetons per cell. The uncorrected formation energy is -18.67 kcal/mol of atoms. The space group is Cmc2_1. The total DFT energy (no corrections) comes out at -149.18 eV per cell.

```
Pa2ZnPN5
1.0
1.6172 -6.5964 0.0000
1.6172 6.5964 0.0000
0.0000 0.0000 10.4982
Pa Zn P N
4 2 2 10
Direct
0.1167 0.8833 0.5000 Pa
0.1540 0.8460 0.1674 Pa
0.8460 0.1540 0.6674 Pa
0.8833 0.1167 0.0000 Pa
0.1963 0.8037 0.8879 Zn
0.8037 0.1963 0.3879 Zn
0.4419 0.5581 0.2455 P
0.5581 0.4419 0.7455 P
0.0439 0.9561 0.8281 N
0.2896 0.7104 0.5188 N
0.3295 0.6705 0.1801 N
0.3463 0.6537 0.8368 N
0.4856 0.5144 0.6174 N
0.5144 0.4856 0.1174 N
0.6537 0.3463 0.3368 N
0.6705 0.3295 0.6801 N
0.7104 0.2896 0.0188 N
0.9561 0.0439 0.3281 N
```

---

2.
The following is a PBE calculation of an optimized crystal structure of TcAgO2, from Alexandria via LeMat-Bulk.

Results
As for the size of the total moment: 0.00 Bohr magnetons per cell. The uncorrected formation energy is -9.14 kcal/mol of atoms. The space group is I-42d. The total DFT energy (no corrections) comes out at -49.44 eV per cell.

```
TcAgO2
1.0
-2.4677 2.4677 5.0815
2.4677 -2.4677 5.0815
2.4677 2.4677 -5.0815
Tc Ag O
2 2 4
Direct
0.0000 0.0000 0.0000 Tc
0.7500 0.2500 0.5000 Tc
0.2500 0.7500 0.5000 Ag
0.5000 0.5000 0.0000 Ag
0.0323 0.6250 0.9073 O
0.3750 0.2823 0.4073 O
0.7177 0.1250 0.0927 O
0.8750 0.9677 0.5927 O
```

---

3.
The following is a PBE calculation of an optimized crystal structure of KPd2AuS, from Alexandria via LeMat-Bulk.

Results
As for the size of the total moment: 0.24 Bohr magnetons per cell. The uncorrected formation energy is 16.70 kcal/mol of atoms. The space group is P4/mmm. The total DFT energy (no corrections) comes out at -15.27 eV per cell.

```
KPd2AuS
1.0
5.0458 0.0000 0.0000
0.0000 5.0458 0.0000
0.0000 0.0000 5.7883
K Pd Au S
1 2 1 1
Direct
0.0000 0.0000 0.0000 K
0.0000 0.5000 0.5000 Pd
0.5000 0.0000 0.5000 Pd
0.0000 0.0000 0.5000 Au
0.5000 0.5000 0.0000 S
```

---

4.
The following is a PBE calculation of an optimized crystal structure of CeTlPdAu, from Alexandria via LeMat-Bulk.

Results
As for the size of the total moment: 0.63 Bohr magnetons per cell. The space group is F-43m. The total DFT energy (no corrections) comes out at -18.78 eV per cell.

```
CeTlPdAu
1.0
0.0000 3.5413 3.5413
3.5413 0.0000 3.5413
3.5413 3.5413 0.0000
Ce Tl Pd Au
1 1 1 1
Direct
0.0000 0.0000 0.0000 Ce
0.5000 0.5000 0.5000 Tl
0.2500 0.2500 0.2500 Pd
0.7500 0.7500 0.7500 Au
```

---

5.
The following is a PBE calculation of an optimized crystal structure of NaIn3Hg2, from Alexandria via LeMat-Bulk.

Results
As for the size of the total moment: 0.00 Bohr magnetons per cell. The space group is C2/m. The total DFT energy (no corrections) comes out at -21.42 eV per cell.

```
NaIn3Hg2
1.0
8.1177 -2.4881 0.0000
8.1177 2.4881 0.0000
-4.9987 0.0000 7.9005
Na In Hg
2 6 4
Direct
0.1272 0.1272 0.1079 Na
0.8728 0.8728 0.8921 Na
0.0099 0.0099 0.3444 In
0.2469 0.2469 0.5860 In
0.3766 0.3766 0.3634 In
0.6234 0.6234 0.6366 In
0.7531 0.7531 0.4140 In
0.9901 0.9901 0.6556 In
0.2449 0.2449 0.9068 Hg
0.4871 0.4871 0.8288 Hg
0.5129 0.5129 0.1712 Hg
0.7551 0.7551 0.0932 Hg
```

---

6.
The following is a PBE calculation of an optimized crystal structure of Ba2Li3Tl5, from Alexandria via LeMat-Bulk.

Results
As for the size of the total moment: 0.00 Bohr magnetons per cell. The space group is Ibam. The total DFT energy (no corrections) comes out at -48.47 eV per cell.

```
Ba2Li3Tl5
1.0
-5.8598 7.0932 3.5525
5.8598 -7.0932 3.5525
5.8598 7.0932 -3.5525
Ba Li Tl
4 6 10
Direct
0.1330 0.2424 0.3753 Ba
0.3670 0.7424 0.1094 Ba
0.6330 0.2576 0.8906 Ba
0.8670 0.7576 0.6247 Ba
0.1279 0.8911 0.0189 Li
0.2500 0.7500 0.5000 Li
0.3721 0.3911 0.7632 Li
0.6279 0.6089 0.2368 Li
0.7500 0.2500 0.5000 Li
0.8721 0.1089 0.9811 Li
0.0107 0.7500 0.2607 Tl
0.1060 0.6516 0.7576 Tl
0.2500 0.2500 0.0000 Tl
0.3940 0.1516 0.5457 Tl
0.4893 0.7500 0.7393 Tl
0.5107 0.2500 0.2607 Tl
0.6060 0.8484 0.4543 Tl
0.7500 0.7500 0.0000 Tl
0.8940 0.3484 0.2424 Tl
0.9893 0.2500 0.7393 Tl
```

---

7.
The following is a PBE calculation of an optimized crystal structure of Ce2UPdSe4, from Alexandria via LeMat-Bulk.

Results
As for the size of the total moment: 5.59 Bohr magnetons per cell. The uncorrected formation energy is -28.55 kcal/mol of atoms. The space group is I-42m. The total DFT energy (no corrections) comes out at -52.19 eV per cell.

```
Ce2UPdSe4
1.0
-3.5550 3.5550 3.5705
3.5550 -3.5550 3.5705
3.5550 3.5550 -3.5705
Ce U Pd Se
2 1 1 4
Direct
0.0000 0.5000 0.5000 Ce
0.5000 0.0000 0.5000 Ce
0.0000 0.0000 0.0000 U
0.5000 0.5000 0.0000 Pd
0.0744 0.0744 0.5795 Se
0.4950 0.4950 0.4205 Se
0.5050 0.9256 0.0000 Se
0.9256 0.5050 0.0000 Se
```

---

8.
The following is a PBE calculation of an optimized crystal structure of ZrScS4, from Alexandria via LeMat-Bulk.

Results
As for the size of the total moment: 0.00 Bohr magnetons per cell. The uncorrected formation energy is -30.53 kcal/mol of atoms. The space group is Cmmm. The total DFT energy (no corrections) comes out at -39.33 eV per cell.

```
ZrScS4
1.0
4.2884 -4.3445 0.0000
4.2884 4.3445 0.0000
0.0000 0.0000 3.7525
Zr Sc S
1 1 4
Direct
0.0000 0.0000 0.0000 Zr
0.5000 0.5000 0.5000 Sc
0.2005 0.7995 0.5000 S
0.2986 0.2986 0.0000 S
0.7014 0.7014 0.0000 S
0.7995 0.2005 0.5000 S
```

---

9.
The following is a PBE calculation of an optimized crystal structure of Ta2HgSe, from Alexandria via LeMat-Bulk.

Results
As for the size of the total moment: 0.00 Bohr magnetons per cell. The uncorrected formation energy is 3.39 kcal/mol of atoms. The space group is R-3m. The total DFT energy (no corrections) comes out at -26.90 eV per cell.

```
Ta2HgSe
1.0
1.5588 0.9000 8.8619
-1.5588 0.9000 8.8619
0.0000 -1.8000 8.8619
Ta Hg Se
2 1 1
Direct
0.2422 0.2422 0.2422 Ta
0.7578 0.7578 0.7578 Ta
0.0000 0.0000 0.0000 Hg
0.5000 0.5000 0.5000 Se
```

---

10.
The following is a PBE calculation of an optimized crystal structure of CaPuPtPb, from Alexandria via LeMat-Bulk.

Results
As for the size of the total moment: 5.47 Bohr magnetons per cell. The space group is P4mm. The total DFT energy (no corrections) comes out at -28.44 eV per cell.

```
CaPuPtPb
1.0
3.5103 0.0000 0.0000
0.0000 3.5103 0.0000
0.0000 0.0000 8.2907
Ca Pu Pt Pb
1 1 1 1
Direct
0.0000 0.0000 0.0000 Ca
0.0000 0.0000 0.5768 Pu
0.5000 0.5000 0.7763 Pt
0.5000 0.5000 0.2884 Pb
```

---

11.
The following is a PBE calculation of an optimized crystal structure of Al2FeTe, from Alexandria via LeMat-Bulk.

Results
As for the size of the total moment: 1.60 Bohr magnetons per cell. The uncorrected formation energy is 2.67 kcal/mol of atoms. The space group is Pm. The total DFT energy (no corrections) comes out at -18.63 eV per cell.

```
Al2FeTe
1.0
3.6226 0.0000 0.0000
0.0000 3.9946 0.0000
-1.7960 0.0000 4.9377
Al Fe Te
2 1 1
Direct
0.0000 0.0000 0.0000 Al
0.4360 0.5000 0.8723 Al
0.1406 0.5000 0.2841 Fe
0.7259 0.0000 0.4550 Te
```

---

12.
The following is a PBE calculation of an optimized crystal structure of Tl4Cd5In, from Alexandria via LeMat-Bulk.

Results
As for the size of the total moment: 0.00 Bohr magnetons per cell. The space group is P4/mmm. The total DFT energy (no corrections) comes out at -16.17 eV per cell.

```
Tl4Cd5In
1.0
3.9702 0.0000 0.0000
0.0000 3.9702 0.0000
0.0000 0.0000 17.2606
Tl Cd In
4 5 1
Direct
0.0000 0.0000 0.1015 Tl
0.0000 0.0000 0.3037 Tl
0.0000 0.0000 0.6963 Tl
0.0000 0.0000 0.8985 Tl
0.5000 0.5000 0.0000 Cd
0.5000 0.5000 0.2034 Cd
0.5000 0.5000 0.4052 Cd
0.5000 0.5000 0.5948 Cd
0.5000 0.5000 0.7966 Cd
0.0000 0.0000 0.5000 In
```